Density functional theory data (PBE) for CdIn2Se3 after structural relaxation.

Raw formation energy, eV per atom: -0.47

Lattice parameters (Å, degrees): 7.158 4.126 10.257 90.00 90.20 90.00
Element x y z (fractional)
Cd: 0.083 0.250 0.166
Cd: 0.917 0.750 0.834
In: 0.247 0.750 0.501
In: 0.416 0.250 0.834
In: 0.584 0.750 0.166
In: 0.753 0.250 0.499
Se: 0.085 0.250 0.685
Se: 0.252 0.750 0.000
Se: 0.419 0.250 0.315
Se: 0.581 0.750 0.685
Se: 0.748 0.250 0.000
Se: 0.915 0.750 0.315